DFT (PBE-GGA) results for crystalline MnCu4S5 at its relaxed geometry.

Calculated volume in Å³/cell: 320.3
E_form (uncorrected) in kJ/mol of formula units: -181

```
data_MnCu4S5
_cell_length_a 7.254
_cell_length_b 7.254
_cell_length_c 6.087
_cell_angle_alpha 90.00
_cell_angle_beta 90.00
_cell_angle_gamma 90.00
_symmetry_space_group_name_H-M 'I 4'
_symmetry_Int_Tables_number 79
loop_
_symmetry_equiv_pos_as_xyz
'x,y,z'
'-y,x,z'
'-x,-y,z'
'y,-x,z'
'x+1/2,y+1/2,z+1/2'
'-y+1/2,x+1/2,z+1/2'
'-x+1/2,-y+1/2,z+1/2'
'y+1/2,-x+1/2,z+1/2'
loop_
_atom_site_label
_atom_site_type_symbol
_atom_site_fract_x
_atom_site_fract_y
_atom_site_fract_z
Mn1 Mn 0.000 0.000 0.000
Cu1 Cu 0.103 0.296 0.498
S1 S 0.000 0.000 0.624
S2 S 0.092 0.293 0.114
```